Material: TbSc3Tc
Method: DFT, PBE-GGA
State: relaxed

Lattice parameters (Å, degrees): 5.0119 6.1664 7.8376 90.00 90.00 90.00
Atoms (fractional coordinates):
Tb 0.2500 0.2500 0.0489
Tb 0.7500 0.7500 0.9511
Sc 0.2500 0.5124 0.6487
Sc 0.2500 0.7500 0.2777
Sc 0.2500 0.9876 0.6487
Sc 0.7500 0.0124 0.3513
Sc 0.7500 0.2500 0.7223
Sc 0.7500 0.4876 0.3513
Tc 0.2500 0.2500 0.3813
Tc 0.7500 0.7500 0.6187

energy above the lowest structure with this stoichiometry = 0.0 kJ/mol of atoms
VASP energy = -6.819 eV/atom
magnetization = 0.0000 μB/atom